(1)
Here is crystalline NiSbW2 at its relaxed geometry from Alexandria via LeMat-Bulk. Energies are from GGA-PBEsol.

abc: 5.212 8.207 2.918
angles: 90.00 90.00 90.00
Atoms (fractional coordinates):
Ni (0.000, 0.000, 0.000)
Ni (0.500, 0.500, 0.000)
Sb (0.000, 0.500, 0.000)
Sb (0.500, 0.000, 0.000)
W (0.250, 0.250, 0.500)
W (0.250, 0.750, 0.500)
W (0.750, 0.250, 0.500)
W (0.750, 0.750, 0.500)

Output
- Raw formation energy: 0.5463 eV/atom

=====

(2)
Here is crystalline CdMoRu2 at its relaxed geometry from Alexandria via LeMat-Bulk. Energies are from GGA-PBEsol.

abc: 3.050 3.050 6.601
angles: 90.00 90.00 90.00
Atoms (fractional coordinates):
Cd (0.000, 0.000, 0.000)
Mo (0.000, 0.000, 0.500)
Ru (0.500, 0.500, 0.278)
Ru (0.500, 0.500, 0.722)

Output
- Formation energy from the elements: 0.179 eV/atom